A geometry-optimized AlCoO2F structure. Source: the Alexandria database, functional PBEsol.

## Properties
The value obtained for the uncorrected formation energy is -1.654 eV per atom. The volume comes out at 47.82 Å³/cell. As for the magnetic moment: 3.0 μB per formula unit.

The structure in POSCAR format:
```
AlCoO2F
1.0
3.481 0.000 0.000
0.000 3.706 0.000
0.000 0.000 3.706
O Al F Co
2 1 1 1
Cartesian
0.000 1.853 0.000
0.000 0.000 1.853
0.000 0.000 0.000
1.741 0.000 0.000
1.741 1.853 1.853
```